[1]
# PBE-GGA InS4Cl, optimized geometry
data_InS4Cl
_symmetry_space_group_name_H-M 'P 1'
_symmetry_Int_Tables_number 1
_cell_length_a 6.906
_cell_length_b 12.709
_cell_length_c 8.991
_cell_angle_alpha 39.24
_cell_angle_beta 49.30
_cell_angle_gamma 54.55
loop_
_symmetry_equiv_pos_as_xyz
'x,y,z'
loop_
_atom_site_label
_atom_site_type_symbol
_atom_site_fract_x
_atom_site_fract_y
_atom_site_fract_z
S1 S 0.476 0.836 0.555
S2 S 0.170 0.325 0.434
S3 S 0.036 0.779 0.507
S4 S 0.524 0.164 0.445
S5 S 0.830 0.675 0.566
S6 S 0.964 0.221 0.493
S7 S 0.135 0.996 0.123
S8 S 0.865 0.004 0.877
Cl1 Cl 0.487 0.381 0.849
Cl2 Cl 0.513 0.619 0.151
In1 In 0.675 0.109 0.136
In2 In 0.325 0.891 0.864
# **Calculated total energy**: -3.842 eV per atom
# **Formation energy (no corrections)**: -2.0 eV/f.u.

***

[2]
# PBE-GGA ZrMn2Cu, optimized geometry
data_ZrMn2Cu
_symmetry_space_group_name_H-M 'P 1'
_symmetry_Int_Tables_number 1
_cell_length_a 4.401
_cell_length_b 4.401
_cell_length_c 4.401
_cell_angle_alpha 60.00
_cell_angle_beta 60.00
_cell_angle_gamma 60.00
loop_
_symmetry_equiv_pos_as_xyz
'x,y,z'
loop_
_atom_site_label
_atom_site_type_symbol
_atom_site_fract_x
_atom_site_fract_y
_atom_site_fract_z
Cu1 Cu 0.500 0.500 0.500
Mn1 Mn 0.000 0.000 0.000
Mn2 Mn 0.250 0.250 0.250
Zr1 Zr 0.750 0.750 0.750
# **Calculated total energy**: -7.584 eV per atom

***

[3]
# PBE-GGA NpAsP, optimized geometry
data_NpAsP
_symmetry_space_group_name_H-M 'P 1'
_symmetry_Int_Tables_number 1
_cell_length_a 3.783
_cell_length_b 3.783
_cell_length_c 5.206
_cell_angle_alpha 111.30
_cell_angle_beta 111.30
_cell_angle_gamma 90.00
loop_
_symmetry_equiv_pos_as_xyz
'x,y,z'
loop_
_atom_site_label
_atom_site_type_symbol
_atom_site_fract_x
_atom_site_fract_y
_atom_site_fract_z
P1 P 0.048 0.048 0.095
Np1 Np 0.644 0.644 0.289
As1 As 0.308 0.308 0.616
# **Calculated total energy**: -8.043 eV per atom
# **Excess energy over the best structure of this formula in the dataset**: 238 meV per atom

***

[4]
# PBE-GGA AlGa2Os2, optimized geometry
data_AlGa2Os2
_symmetry_space_group_name_H-M 'P 1'
_symmetry_Int_Tables_number 1
_cell_length_a 6.887
_cell_length_b 6.887
_cell_length_c 3.233
_cell_angle_alpha 90.00
_cell_angle_beta 90.00
_cell_angle_gamma 90.00
loop_
_symmetry_equiv_pos_as_xyz
'x,y,z'
loop_
_atom_site_label
_atom_site_type_symbol
_atom_site_fract_x
_atom_site_fract_y
_atom_site_fract_z
Ga1 Ga 0.851 0.351 0.500
Ga2 Ga 0.351 0.149 0.500
Ga3 Ga 0.649 0.851 0.500
Ga4 Ga 0.149 0.649 0.500
Al1 Al 0.000 0.000 0.000
Al2 Al 0.500 0.500 0.000
Os1 Os 0.150 0.350 0.000
Os2 Os 0.650 0.150 0.000
Os3 Os 0.850 0.650 0.000
Os4 Os 0.350 0.850 0.000
# **Calculated total energy**: -6.463 eV per atom

***

- Which of these has the lowest calculated total energy?
  NpAsP

***

- What is the formula in the third record?
  NpAsP

***

- What is the formula in the fourth record?
  AlGa2Os2